Entry from Alexandria: Al3CoF after structural relaxation (PBE+U).

Cell lengths 4.1065, 4.1065, 4.1065 Å; angles 90.00, 90.00, 90.00 degrees
Sites, in units of the cell vectors:
Al1 0.0000 0.0000 0.5000
Al2 0.0000 0.5000 0.0000
Al3 0.5000 0.0000 0.0000
Co1 0.5000 0.5000 0.5000
F1 0.0000 0.0000 0.0000

Results
As for the symmetry: Pm-3m, No. 221. Its energy above the most stable polymorph in this dataset is 12.63 kcal/mol of atoms. The calculation puts the uncorrected energy at -3.453 eV per atom.